## Rb2CoBO4 (GGA+U)

Data for a relaxed Rb2CoBO4 crystal.

Values from the calculation:
- VASP energy (eV/atom) = -5.7868
- SG = Fddd, No. 70

abc: 4.6571 6.2311 10.6904
angles: 85.33 77.42 68.06
Positions (direct):
Rb: 0.1727 0.0000 0.6546
Rb: 0.8273 0.0000 0.3454
Rb: 0.5773 0.5000 0.8454
Rb: 0.9227 0.5000 0.1546
Co: 0.7500 0.5000 0.5000
Co: 0.0000 0.0000 0.0000
B: 0.2500 0.5000 0.5000
B: 0.5000 0.0000 0.0000
O: 0.3397 0.8487 0.0800
O: 0.2684 0.1513 0.9200
O: 0.8116 0.8487 0.9200
O: 0.5804 0.1513 0.0800
O: 0.4103 0.6513 0.4200
O: 0.4816 0.3487 0.5800
O: 0.9384 0.6513 0.5800
O: 0.1696 0.3487 0.4200